Record 1
A plane-wave DFT calculation with PBE-GGA was carried out for La2Mg4CuIr after structural relaxation.

Unit cell a=8.3349 b=5.5909 c=5.5909 alpha=44.96 beta=90.00 gamma=90.00
Last column: nearest neighbours and their distance in Å.
Sites, in units of the cell vectors:
Mg: 0.1977 0.6528 0.6528  2 Cu 2.81, 1 Ir 2.82, 2 Mg 3.06
Mg: 0.3069 0.3449 0.3449  2 Ir 2.77, 1 Cu 2.83, 2 Mg 3.06
Mg: 0.6931 0.3449 0.3449  2 Ir 2.77, 1 Cu 2.83, 2 Mg 3.06
Mg: 0.8023 0.6528 0.6528  2 Cu 2.81, 1 Ir 2.82, 2 Mg 3.06
Cu: 0.0000 0.2279 0.2279  6 Mg 2.81-2.83, 3 La 2.98-3.06
La: 0.0000 0.9395 0.9395  3 Cu 2.98-3.06
La: 0.5000 0.0628 0.0628  3 Ir 2.98-3.06, 2 Mg 3.33
Ir: 0.5000 0.7743 0.7743  6 Mg 2.77-2.82, 3 La 2.98-3.06

E_tot = -3.9200 eV/atom

Record 2
A plane-wave DFT calculation with PBE-GGA was carried out for BaMgSiNi after structural relaxation.

Unit cell a=4.9585 b=4.9585 c=4.9585 alpha=60.00 beta=60.00 gamma=60.00
Last column: nearest neighbours and their distance in Å.
Sites, in units of the cell vectors:
Ni: 0.5000 0.5000 0.5000  4 Si 3.04, 4 Mg 3.04
Ba: 0.0000 0.0000 0.0000  4 Mg 3.04, 4 Si 3.04
Mg: 0.7500 0.7500 0.7500  4 Ba 3.04, 4 Ni 3.04
Si: 0.2500 0.2500 0.2500  4 Ni 3.04, 4 Ba 3.04

E_tot = -3.3230 eV/atom

Record 3
A plane-wave DFT calculation with PBE-GGA was carried out for GdErIr after structural relaxation.

Unit cell a=4.7945 b=4.7945 c=4.7945 alpha=60.00 beta=60.00 gamma=60.00
Last column: nearest neighbours and their distance in Å.
Sites, in units of the cell vectors:
Er: 0.7500 0.7500 0.7500  4 Ir 2.94
Gd: 0.2500 0.2500 0.2500  4 Ir 2.94
Ir: 0.0000 0.0000 0.0000  4 Gd 2.94, 4 Er 2.94

DFT formation energy = -0.70 eV per atom